## Tm2Ga2Sn (PBE)

Data for crystalline Tm2Ga2Sn at its relaxed geometry.

Cell lengths 4.3280, 5.9829, 9.8141 Å; angles 78.04, 77.26, 68.80 degrees
Sites, in units of the cell vectors:
Tm1 0.5188 0.6504 0.3119
Tm2 0.4812 0.3496 0.6881
Tm3 0.3150 0.2674 0.1025
Tm4 0.6850 0.7326 0.8975
Ga1 0.0468 0.8099 0.0964
Ga2 0.8724 0.6919 0.5634
Ga3 0.1276 0.3081 0.4366
Ga4 0.9532 0.1901 0.9036
Sn1 0.8018 0.0696 0.3268
Sn2 0.1982 0.9304 0.6732

Volume = 114 Å³/f.u.
ΔE to the lowest computed polymorph = 1.6 kJ/mol of atoms
Energy of formation from the pure elements = -2.8 eV/f.u.
Size of the total moment = 0.00 μB/cell
Space group = C2/m, No. 12


## Tm6GaSn2 (PBE)

Data for crystalline Tm6GaSn2 at its relaxed geometry.

Cell lengths 7.3232, 7.3232, 11.0534 Å; angles 90.00, 90.00, 90.00 degrees
Sites, in units of the cell vectors:
Tm1 0.2342 0.7658 0.5000
Tm2 0.2857 0.2857 0.3386
Tm3 0.7143 0.7143 0.3386
Tm4 0.7857 0.2143 0.8386
Tm5 0.2857 0.2857 0.6614
Tm6 0.2658 0.2658 0.0000
Tm7 0.7857 0.2143 0.1614
Tm8 0.7342 0.7342 0.0000
Tm9 0.2143 0.7857 0.8386
Tm10 0.7658 0.2342 0.5000
Tm11 0.7143 0.7143 0.6614
Tm12 0.2143 0.7857 0.1614
Ga1 0.5000 0.5000 0.5000
Ga2 0.0000 0.0000 0.0000
Sn1 0.0000 0.0000 0.3394
Sn2 0.5000 0.5000 0.1606
Sn3 0.0000 0.0000 0.6606
Sn4 0.5000 0.5000 0.8394

Volume = 296 Å³/f.u.
Energy of formation from the pure elements = -0.1 eV/f.u.
Size of the total moment = 0.00 μB/cell
Space group = P4_2/mnm, No. 136


## Tm2Ga9Sn (PBE)

Data for crystalline Tm2Ga9Sn at its relaxed geometry.

Cell lengths 4.2555, 4.2555, 13.1385 Å; angles 90.00, 90.00, 90.00 degrees
Sites, in units of the cell vectors:
Ga1 0.5000 0.5000 0.3385
Ga2 0.5000 0.0000 0.1729
Ga3 0.5000 0.5000 0.6615
Ga4 0.5000 0.0000 0.5000
Ga5 0.5000 0.5000 0.0000
Ga6 0.0000 0.5000 0.8271
Ga7 0.0000 0.5000 0.1729
Ga8 0.0000 0.5000 0.5000
Ga9 0.5000 0.0000 0.8271
Tm1 0.0000 0.0000 0.6592
Tm2 0.0000 0.0000 0.3408
Sn1 0.0000 0.0000 0.0000

Volume = 238 Å³/f.u.
Energy of formation from the pure elements = -3.4 eV/f.u.
Size of the total moment = 0.00 μB/cell
Space group = P4/mmm, No. 123


## Tm5GaSn4 (PBE)

Data for crystalline Tm5GaSn4 at its relaxed geometry.

Cell lengths 6.1592, 7.3795, 7.3795 Å; angles 79.97, 65.33, 65.33 degrees
Sites, in units of the cell vectors:
Sn1 0.1845 0.1708 0.3754
Sn2 0.5598 0.6246 0.1708
Sn3 0.3553 0.3754 0.8292
Sn4 0.7306 0.8292 0.6246
Ga1 0.1671 0.0000 0.0000
Tm1 0.0467 0.6009 0.2264
Tm2 0.6476 0.2264 0.3991
Tm3 0.8740 0.3991 0.7736
Tm4 0.6715 0.0000 0.0000
Tm5 0.2731 0.7736 0.6009

Volume = 277 Å³/f.u.
Energy of formation from the pure elements = -4.0 eV/f.u.
Size of the total moment = 0.00 μB/cell
Space group = I4, No. 79